Tb2Y4ErSc: relaxed, PBE.

Unit cell a=4.9857 b=4.9903 c=11.1237 alpha=63.37 beta=90.00 gamma=90.00
Element x y z (fractional)
Sc: 0.0000 0.5000 0.5000
Y: 0.5000 0.2545 0.7458
Y: 0.0000 0.7546 0.7458
Y: 0.0000 0.2454 0.2542
Y: 0.5000 0.7455 0.2542
Tb: 0.0000 0.0000 0.0000
Tb: 0.5000 0.0000 0.5000
Er: 0.5000 0.5000 0.0000

Values from the calculation:
**Electronic total energy**: -5.72 eV/atom
**SG**: No. 123